Entry a
The following is a DFT calculation (PBE) of a relaxed Sr2VRe crystal.

abc: 8.666 8.666 5.831
angles: 90.00 90.00 90.00
Fractional coordinates of all 16 atoms:
Sr1 0.227 0.750 0.125
Sr2 0.250 0.227 0.875
Sr3 0.250 0.273 0.375
Sr4 0.273 0.750 0.625
Sr5 0.727 0.250 0.625
Sr6 0.750 0.727 0.375
Sr7 0.750 0.773 0.875
Sr8 0.773 0.250 0.125
V1 0.000 0.000 0.500
V2 0.000 0.500 0.750
V3 0.500 0.000 0.250
V4 0.500 0.500 0.000
Re1 0.000 0.000 0.000
Re2 0.000 0.500 0.250
Re3 0.500 0.000 0.750
Re4 0.500 0.500 0.500

=====

Entry b
The following is a DFT calculation (PBE) of a relaxed Sr2VRe crystal.

abc: 7.588 7.588 7.588
angles: 90.00 90.00 90.00
Fractional coordinates of all 16 atoms:
Sr1 0.250 0.250 0.250
Sr2 0.250 0.250 0.750
Sr3 0.250 0.750 0.250
Sr4 0.250 0.750 0.750
Sr5 0.750 0.250 0.250
Sr6 0.750 0.250 0.750
Sr7 0.750 0.750 0.250
Sr8 0.750 0.750 0.750
V1 0.000 0.000 0.000
V2 0.000 0.500 0.500
V3 0.500 0.000 0.500
V4 0.500 0.500 0.000
Re1 0.000 0.000 0.500
Re2 0.000 0.500 0.000
Re3 0.500 0.000 0.000
Re4 0.500 0.500 0.500

=====

How do the energies compare? Relative to the most stable structure, in meV/atom: entry a 145; entry b 0.

=====

Entry a
The following is a DFT calculation (PBE) of a relaxed Sr2VRe2 crystal.

abc: 4.129 4.129 14.324
angles: 90.00 90.00 90.00
Fractional coordinates of all 10 atoms:
Sr1 0.000 0.500 0.250
Sr2 0.000 0.500 0.750
Sr3 0.500 0.000 0.250
Sr4 0.500 0.000 0.750
V1 0.000 0.000 0.000
V2 0.500 0.500 0.500
Re1 0.000 0.000 0.423
Re2 0.000 0.000 0.577
Re3 0.500 0.500 0.077
Re4 0.500 0.500 0.923

=====

Entry b
The following is a DFT calculation (PBE) of a relaxed Sr2VRe2 crystal.

abc: 6.484 6.484 5.449
angles: 90.00 90.00 90.00
Fractional coordinates of all 10 atoms:
Sr1 0.176 0.324 0.000
Sr2 0.324 0.824 0.000
Sr3 0.676 0.176 0.000
Sr4 0.824 0.676 0.000
V1 0.000 0.000 0.500
V2 0.500 0.500 0.500
Re1 0.134 0.634 0.500
Re2 0.366 0.134 0.500
Re3 0.634 0.866 0.500
Re4 0.866 0.366 0.500

=====

How do the energies compare? Relative to the most stable structure, in meV/atom: entry a 997; entry b 0.

=====

Entry a
The following is a DFT calculation (PBE) of a relaxed SrV2Re crystal.

abc: 4.825 4.825 16.895
angles: 90.00 90.00 90.00
Fractional coordinates of all 16 atoms:
Sr1 0.000 0.250 0.375
Sr2 0.000 0.750 0.625
Sr3 0.500 0.250 0.125
Sr4 0.500 0.750 0.875
V1 0.000 0.000 0.000
V2 0.000 0.500 0.000
V3 0.250 0.250 0.750
V4 0.250 0.750 0.250
V5 0.500 0.000 0.500
V6 0.500 0.500 0.500
V7 0.750 0.250 0.750
V8 0.750 0.750 0.250
Re1 0.000 0.250 0.875
Re2 0.000 0.750 0.125
Re3 0.500 0.250 0.625
Re4 0.500 0.750 0.375

=====

Entry b
The following is a DFT calculation (PBE) of a relaxed SrV2Re crystal.

abc: 6.527 6.527 6.527
angles: 90.00 90.00 90.00
Fractional coordinates of all 16 atoms:
Sr1 0.000 0.000 0.000
Sr2 0.000 0.500 0.500
Sr3 0.500 0.000 0.500
Sr4 0.500 0.500 0.000
V1 0.250 0.250 0.250
V2 0.250 0.250 0.750
V3 0.250 0.750 0.250
V4 0.250 0.750 0.750
V5 0.750 0.250 0.250
V6 0.750 0.250 0.750
V7 0.750 0.750 0.250
V8 0.750 0.750 0.750
Re1 0.000 0.000 0.500
Re2 0.000 0.500 0.000
Re3 0.500 0.000 0.000
Re4 0.500 0.500 0.500

=====

How do the energies compare? Relative to the most stable structure, in meV/atom: entry a 223; entry b 0.